# 1
CaSbCl2: PBEsol geometry, meta-GGA SCAN.

Cell lengths 3.621, 3.621, 11.298 Å; angles 80.78, 80.78, 60.00 degrees
Fractional positions:
Sb1 0.500 0.500 0.500
Cl1 0.715 0.715 0.854
Ca1 0.000 0.000 0.000
Cl2 0.285 0.285 0.146

Output
**Space group**: R-3m (166)
**Volume**: 126.1 Å³/cell
**Formation energy without anion corrections**: -1494 meV per atom
**Density**: 3.07 g cm⁻³
**ΔE to the lowest computed polymorph**: 0.000 eV/atom

---

# 2
SrCaSbCl2: PBEsol geometry, meta-GGA SCAN.

Cell lengths 5.111, 5.111, 6.256 Å; angles 90.00, 90.00, 90.00 degrees
Site moments in Bohr magnetons follow the coordinates.
Fractional positions:
Sb1 0.000 0.000 0.500  0.34
Ca1 0.000 0.000 0.000  0.02
Cl1 0.000 0.500 0.000  0.03
Cl2 0.500 0.000 0.000  0.03
Sr1 0.500 0.500 0.500  0.01

Output
**Space group**: P4/mmm (123)
**Volume**: 163.5 Å³/cell
**Formation energy without anion corrections**: -1617 meV per atom
**Density**: 3.25 g cm⁻³

---

# 3
CaScCl: PBEsol geometry, meta-GGA SCAN.

Cell lengths 3.534, 3.534, 6.534 Å; angles 90.00, 90.00, 120.00 degrees
Site moments in Bohr magnetons follow the coordinates.
Fractional positions:
Cl1 0.667 0.333 0.652  0.00
Sc1 0.333 0.667 0.380  -0.12
Ca1 0.000 0.000 0.968  0.08

Output
**Space group**: P3m1 (156)
**Volume**: 70.7 Å³/cell
**Formation energy without anion corrections**: -972 meV per atom
**Density**: 2.83 g cm⁻³

---

# 4
CaScCl2: PBEsol geometry, meta-GGA SCAN.

Cell lengths 3.457, 3.457, 8.610 Å; angles 78.42, 78.42, 60.00 degrees
Fractional positions:
Sc1 0.000 0.000 0.000
Ca1 0.500 0.500 0.500
Cl1 0.265 0.265 0.206
Cl2 0.735 0.735 0.794

Output
**Space group**: R-3m (166)
**Volume**: 86.7 Å³/cell
**Formation energy without anion corrections**: -1339 meV per atom
**Density**: 2.99 g cm⁻³
**ΔE to the lowest computed polymorph**: 0.000 eV/atom

---

# 5
CaScCl2: PBEsol geometry, meta-GGA SCAN.

Cell lengths 3.441, 4.387, 6.007 Å; angles 103.45, 90.00, 113.09 degrees
Fractional positions:
Cl1 0.259 0.517 0.274
Sc1 0.000 0.000 0.500
Ca1 0.500 0.000 0.000
Cl2 0.741 0.483 0.726

Output
**Space group**: C2/m (12)
**Volume**: 80.7 Å³/cell
**Formation energy without anion corrections**: -1332 meV per atom
**Density**: 3.21 g cm⁻³
**ΔE to the lowest computed polymorph**: 0.007 eV/atom

---

# 6
Ca2ScCl: PBEsol geometry, meta-GGA SCAN.

Cell lengths 3.499, 6.458, 6.408 Å; angles 119.70, 90.00, 105.72 degrees
Site moments in Bohr magnetons follow the coordinates.
Fractional positions:
Cl1 0.500 0.000 0.000  0.01
Ca1 0.797 0.593 0.797  0.06
Sc1 0.000 0.000 0.500  0.78
Ca2 0.203 0.407 0.203  0.06

Output
**Space group**: Immm (71)
**Volume**: 119.5 Å³/cell
**Formation energy without anion corrections**: -492 meV per atom
**Density**: 2.23 g cm⁻³
**ΔE to the lowest computed polymorph**: 0.069 eV/atom

---

# 7
Ca2ScCl: PBEsol geometry, meta-GGA SCAN.

Cell lengths 3.584, 5.916, 5.808 Å; angles 90.00, 90.00, 89.91 degrees
Site moments in Bohr magnetons follow the coordinates.
Fractional positions:
Cl1 0.379 0.458 0.000  0.00
Ca1 0.880 0.108 0.000  0.05
Ca2 0.868 0.720 0.500  -0.01
Sc1 0.373 0.214 0.500  -0.01

Output
**Space group**: Pm (6)
**Volume**: 123.2 Å³/cell
**Formation energy without anion corrections**: -439 meV per atom
**Density**: 2.16 g cm⁻³
**ΔE to the lowest computed polymorph**: 0.122 eV/atom

---

# 8
Ca2ScCl: PBEsol geometry, meta-GGA SCAN.

Cell lengths 3.470, 6.041, 6.602 Å; angles 120.59, 105.23, 90.00 degrees
Site moments in Bohr magnetons follow the coordinates.
Fractional positions:
Sc1 0.187 0.620 0.375  0.13
Ca1 0.789 0.241 0.577  0.03
Cl1 0.548 0.686 0.096  0.00
Ca2 0.976 0.953 0.951  0.03

Output
**Space group**: Cm (8)
**Volume**: 113.4 Å³/cell
**Formation energy without anion corrections**: -561 meV per atom
**Density**: 2.35 g cm⁻³
**ΔE to the lowest computed polymorph**: 0.000 eV/atom

---

# 9
CaScCl2: PBEsol geometry, meta-GGA SCAN.

Cell lengths 3.306, 4.707, 4.707 Å; angles 90.00, 90.00, 90.00 degrees
Site moments in Bohr magnetons follow the coordinates.
Fractional positions:
Cl1 0.000 0.000 0.500  -0.01
Sc1 0.500 0.500 0.500  0.51
Ca1 0.500 0.000 0.000  0.14
Cl2 0.000 0.500 0.000  -0.01

Output
**Space group**: P4/mmm (123)
**Volume**: 73.2 Å³/cell
**Formation energy without anion corrections**: -1107 meV per atom
**Density**: 3.54 g cm⁻³
**ΔE to the lowest computed polymorph**: 0.232 eV/atom

---

# 10
Ca3SeCl: PBEsol geometry, meta-GGA SCAN.

Cell lengths 5.202, 5.202, 5.202 Å; angles 90.00, 90.00, 90.00 degrees
Fractional positions:
Ca1 0.500 0.000 0.000
Ca2 0.000 0.500 0.000
Cl1 0.000 0.000 0.000
Ca3 0.000 0.000 0.500
Se1 0.500 0.500 0.500

Output
**Space group**: Pm-3m (221)
**Volume**: 140.8 Å³/cell
**Formation energy without anion corrections**: -722 meV per atom
**Density**: 2.77 g cm⁻³

---

# 11
Ca2ZnSeCl: PBEsol geometry, meta-GGA SCAN.

Cell lengths 4.587, 5.524, 5.524 Å; angles 90.00, 90.00, 90.00 degrees
Fractional positions:
Ca1 0.000 0.500 0.000
Zn1 0.000 0.000 0.000
Se1 0.500 0.500 0.500
Cl1 0.500 0.000 0.000
Ca2 0.000 0.000 0.500

Output
**Space group**: P4/mmm (123)
**Volume**: 140.0 Å³/cell
**Formation energy without anion corrections**: -622 meV per atom
**Density**: 3.08 g cm⁻³

---

# 12
CaSiCl2: PBEsol geometry, meta-GGA SCAN.

Cell lengths 6.245, 6.245, 6.245 Å; angles 105.54, 105.54, 117.66 degrees
Fractional positions:
Cl1 0.625 0.122 0.997
Cl2 0.878 0.875 0.503
Ca1 0.250 0.750 0.500
Cl3 0.372 0.375 0.497
Ca2 0.000 0.000 0.000
Si1 0.500 0.500 0.000
Si2 0.750 0.250 0.500
Cl4 0.125 0.628 0.003

Output
**Space group**: I-42d (122)
**Volume**: 184.6 Å³/cell
**Formation energy without anion corrections**: -840 meV per atom
**Density**: 2.50 g cm⁻³
**ΔE to the lowest computed polymorph**: 0.192 eV/atom

---

Question: Among the records above, which one has the lowest volume?
Answer: CaScCl